# 1
The following is a PBE-GGA calculation of an optimized crystal structure of MgZnOF2, from Alexandria via LeMat-Bulk.

The structure in extended XYZ format:
```
5
Lattice="3.922 0.000 0.000 0.000 3.922 0.000 0.000 0.000 4.049" Properties=species:S:1:pos:R:3 pbc="T T T"
Mg 0.000 0.000 0.000
Zn 1.961 1.961 2.025
O 1.961 1.961 0.000
F 0.000 1.961 2.025
F 1.961 0.000 2.025
```

Properties
Total magnetic moment (μB/atom): 0.000
Polymorph energy (0 for the lowest one) (meV per atom): 195
Space-group type: P4/mmm
ΔE_f (raw) (meV/atom): -1830
DFT total energy (eV/atom): -4.144

---

# 2
The following is a PBE-GGA calculation of an optimized crystal structure of PaMn9Cr2, from Alexandria via LeMat-Bulk.

The structure in extended XYZ format:
```
24
Lattice="8.182 0.000 0.000 0.000 8.182 0.000 0.000 0.000 4.556" Properties=species:S:1:pos:R:3 pbc="T T T"
Pa 0.000 0.000 0.000
Pa 4.091 4.091 0.000
Mn 0.000 4.091 2.278
Mn 0.538 1.767 2.278
Mn 1.442 5.533 1.039
Mn 1.442 5.533 3.517
Mn 1.767 7.644 2.278
Mn 2.324 3.553 2.278
Mn 2.649 1.442 1.039
Mn 2.649 1.442 3.517
Mn 3.553 5.858 2.278
Mn 4.091 0.000 2.278
Mn 4.629 2.324 2.278
Mn 5.533 6.740 1.039
Mn 5.533 6.740 3.517
Mn 5.858 4.629 2.278
Mn 6.415 0.538 2.278
Mn 6.740 2.649 1.039
Mn 6.740 2.649 3.517
Mn 7.644 6.415 2.278
Cr 0.959 3.132 0.000
Cr 3.132 7.222 0.000
Cr 5.050 0.959 0.000
Cr 7.222 5.050 0.000
```

Properties
Total magnetic moment (μB/atom): 0.220
Space-group type: P4/mbm
ΔH_f (0 K) (eV/atom): 0.024
DFT total energy (eV/atom): -9.248

---

# 3
The following is a PBE-GGA calculation of an optimized crystal structure of SrTi2TePt, from Alexandria via LeMat-Bulk.

The structure in extended XYZ format:
```
5
Lattice="5.095 0.000 0.000 0.000 5.095 0.000 0.000 0.000 5.193" Properties=species:S:1:pos:R:3 pbc="T T T"
Sr 0.000 0.000 0.000
Ti 0.000 2.547 2.597
Ti 2.547 0.000 2.597
Te 2.547 2.547 2.597
Pt 2.547 2.547 0.000
```

Properties
Total magnetic moment (μB/atom): 0.326
Space-group type: P4/mmm
ΔE_f (raw) (meV/atom): 324
DFT total energy (eV/atom): -5.007

---

# 4
The following is a PBE-GGA calculation of an optimized crystal structure of TbDy3Tm8, from Alexandria via LeMat-Bulk.

The structure in extended XYZ format:
```
12
Lattice="-3.172 5.539 5.602 3.172 -5.539 5.602 3.172 5.539 -5.602" Properties=species:S:1:pos:R:3 pbc="T T T"
Tb 0.000 0.000 0.000
Dy 3.172 0.000 2.806
Dy 0.000 0.000 5.602
Dy 0.000 5.539 2.796
Tm 3.172 3.673 -2.800
Tm 1.584 2.777 0.000
Tm 1.588 -2.762 5.602
Tm 0.000 1.866 2.802
Tm 3.172 3.673 2.800
Tm 1.584 8.300 0.000
Tm 1.588 2.762 5.602
Tm 0.000 1.866 8.401
```

Properties
Total magnetic moment (μB/atom): 0.000
Space-group type: Immm
ΔH_f (0 K) (eV/atom): 0.324
DFT total energy (eV/atom): -4.193

---

# 5
The following is a PBE-GGA calculation of an optimized crystal structure of Li2TbZn2Au2, from Alexandria via LeMat-Bulk.

The structure in extended XYZ format:
```
14
Lattice="7.847 0.000 0.000 0.000 4.512 0.000 -2.626 0.000 7.349" Properties=species:S:1:pos:R:3 pbc="T T T"
Li -0.001 0.000 3.111
Li 1.299 2.256 4.239
Li 3.922 2.256 3.111
Li 5.223 0.000 4.239
Tb 0.000 0.000 0.000
Tb 3.924 2.256 0.000
Zn -1.323 2.256 5.386
Zn 2.621 0.000 1.963
Zn 2.601 0.000 5.386
Zn 6.544 2.256 1.963
Au 1.308 2.256 1.639
Au -0.010 0.000 5.710
Au 5.231 0.000 1.639
Au 3.914 2.256 5.710
```

Properties
Total magnetic moment (μB/atom): 0.000
Space-group type: C2/m
ΔH_f (0 K) (eV/atom): -0.513
DFT total energy (eV/atom): -3.022

---

# 6
The following is a PBE-GGA calculation of an optimized crystal structure of ZnTc2Se, from Alexandria via LeMat-Bulk.

The structure in extended XYZ format:
```
4
Lattice="2.976 0.000 0.000 0.000 4.521 0.000 0.000 0.000 4.526" Properties=species:S:1:pos:R:3 pbc="T T T"
Zn 0.000 0.000 0.000
Tc 0.000 2.261 1.428
Tc 1.488 0.000 2.230
Se 1.488 2.261 3.511
```

Properties
Total magnetic moment (μB/atom): 0.000
Polymorph energy (0 for the lowest one) (meV per atom): 175
Space-group type: Pmm2
ΔE_f (raw) (meV/atom): 226
DFT total energy (eV/atom): -6.147

---

# 7
The following is a PBE-GGA calculation of an optimized crystal structure of Tm12MgCo5, from Alexandria via LeMat-Bulk.

The structure in extended XYZ format:
```
18
Lattice="-4.630 4.640 4.893 4.630 -4.640 4.893 4.630 4.640 -4.893" Properties=species:S:1:pos:R:3 pbc="T T T"
Tm 4.630 -2.850 3.070
Tm 2.846 0.000 2.060
Tm 6.414 0.000 2.060
Tm 2.927 2.671 0.000
Tm 6.333 2.671 0.000
Tm 0.000 1.790 1.823
Tm 4.630 2.850 3.070
Tm -1.703 1.969 4.893
Tm 1.703 1.969 4.893
Tm -1.784 4.640 2.832
Tm 1.784 4.640 2.832
Tm 0.000 7.490 1.823
Mg 0.000 4.640 0.000
Co 1.157 0.000 0.000
Co 4.630 0.000 0.000
Co 8.104 0.000 0.000
Co 0.000 0.000 3.788
Co 0.000 0.000 5.997
```

Properties
Total magnetic moment (μB/atom): 0.000
Space-group type: Immm
ΔH_f (0 K) (eV/atom): -0.206
DFT total energy (eV/atom): -5.250

---

# 8
The following is a PBE-GGA calculation of an optimized crystal structure of LaGdMgPa, from Alexandria via LeMat-Bulk.

The structure in extended XYZ format:
```
16
Lattice="7.755 0.000 0.000 0.000 7.755 0.000 0.000 0.000 7.755" Properties=species:S:1:pos:R:3 pbc="T T T"
La 0.000 0.000 0.000
La 0.000 3.878 3.878
La 3.878 0.000 3.878
La 3.878 3.878 0.000
Gd 0.000 0.000 3.878
Gd 0.000 3.878 0.000
Gd 3.878 0.000 0.000
Gd 3.878 3.878 3.878
Mg 1.939 1.939 5.816
Mg 1.939 5.816 1.939
Mg 5.816 1.939 1.939
Mg 5.816 5.816 5.816
Pa 1.939 1.939 1.939
Pa 1.939 5.816 5.816
Pa 5.816 1.939 5.816
Pa 5.816 5.816 1.939
```

Properties
Total magnetic moment (μB/atom): 2.128
Space-group type: F-43m
ΔH_f (0 K) (eV/atom): 0.330
DFT total energy (eV/atom): -7.195

---

# 9
The following is a PBE-GGA calculation of an optimized crystal structure of La2ScTa, from Alexandria via LeMat-Bulk.

The structure in extended XYZ format:
```
4
Lattice="3.223 0.000 0.000 0.000 3.223 0.000 0.000 0.000 10.581" Properties=species:S:1:pos:R:3 pbc="T T T"
La 0.000 0.000 0.000
La 1.611 1.611 3.238
Sc 0.000 0.000 6.133
Ta 1.611 1.611 8.112
```

Properties
Total magnetic moment (μB/atom): 0.000
Polymorph energy (0 for the lowest one) (meV per atom): 0
Space-group type: P4mm
ΔH_f (0 K) (eV/atom): 0.267
DFT total energy (eV/atom): -6.742

---

# 10
The following is a PBE-GGA calculation of an optimized crystal structure of NdInSnI6, from Alexandria via LeMat-Bulk.

The structure in extended XYZ format:
```
18
Lattice="8.096 0.000 0.000 -4.048 7.011 0.000 0.000 0.000 15.181" Properties=species:S:1:pos:R:3 pbc="T T T"
Nd 0.000 4.674 3.795
Nd 4.048 2.337 11.386
In 0.000 0.000 0.000
In 0.000 0.000 7.590
Sn 0.000 4.674 11.386
Sn 4.048 2.337 3.795
I -1.418 2.534 1.987
I -2.562 4.516 5.604
I 1.418 2.534 5.604
I -1.144 6.972 1.987
I 2.904 0.039 9.577
I 1.486 2.495 13.194
I 2.562 4.516 1.987
I 1.144 6.972 5.604
I 5.192 0.039 13.194
I 2.630 4.477 9.577
I 6.610 2.495 9.577
I 5.466 4.477 13.194
```

Properties
Total magnetic moment (μB/atom): 0.000
Space-group type: P-31c
ΔE_f (raw) (meV/atom): -898
DFT total energy (eV/atom): -3.211